(1)
The following is a DFT calculation (PBE) of a geometry-optimized CaTa2Pb structure.

a b c (Å): 11.055 3.089 5.332
angles (deg): 90.00 101.20 90.00
Element x y z (fractional)
Ca  0.000  0.000  0.000
Ca  0.500  0.500  0.000
Ta  0.235  0.000  0.736
Ta  0.265  0.500  0.264
Ta  0.735  0.500  0.736
Ta  0.765  0.000  0.264
Pb  0.000  0.500  0.500
Pb  0.500  0.000  0.500

Output
The space-group type is C2/m, No. 12. Its raw total energy is -6.81 eV/atom. The value obtained for the density of states at the Fermi level is 1.1188 states/eV/atom.

=====

(2)
The following is a DFT calculation (PBE) of a geometry-optimized Rb2CdPd2 structure.

a b c (Å): 7.164 7.164 5.549
angles (deg): 90.00 90.00 90.00
Element x y z (fractional)
Rb  0.176  0.324  0.000
Rb  0.324  0.824  0.000
Rb  0.676  0.176  0.000
Rb  0.824  0.676  0.000
Cd  0.000  0.000  0.500
Cd  0.500  0.500  0.500
Pd  0.133  0.633  0.500
Pd  0.367  0.133  0.500
Pd  0.633  0.867  0.500
Pd  0.867  0.367  0.500

Output
The space-group type is P4/mbm, No. 127. Its raw total energy is -2.64 eV/atom. The value obtained for the density of states at the Fermi level is 0.2092 states/eV/atom.

=====

(3)
The following is a DFT calculation (PBE) of a geometry-optimized Zr2Zn12Ni structure.

a b c (Å): 5.545 5.545 15.994
angles (deg): 90.00 90.00 90.00
Element x y z (fractional)
Zr  0.250  0.750  0.244
Zr  0.250  0.750  0.756
Zr  0.750  0.250  0.244
Zr  0.750  0.250  0.756
Zn  0.000  0.000  0.089
Zn  0.000  0.000  0.911
Zn  0.000  0.500  0.089
Zn  0.000  0.500  0.911
Zn  0.084  0.584  0.430
Zn  0.084  0.916  0.570
Zn  0.250  0.250  0.190
Zn  0.250  0.250  0.336
Zn  0.250  0.250  0.664
Zn  0.250  0.250  0.810
Zn  0.416  0.584  0.570
Zn  0.416  0.916  0.430
Zn  0.500  0.000  0.089
Zn  0.500  0.000  0.911
Zn  0.500  0.500  0.089
Zn  0.500  0.500  0.911
Zn  0.584  0.084  0.570
Zn  0.584  0.416  0.430
Zn  0.750  0.750  0.190
Zn  0.750  0.750  0.336
Zn  0.750  0.750  0.664
Zn  0.750  0.750  0.810
Zn  0.916  0.084  0.430
Zn  0.916  0.416  0.570
Ni  0.250  0.750  0.000
Ni  0.750  0.250  0.000

Output
The space-group type is P4/nbm, No. 125. Its raw total energy is -2.61 eV/atom. The value obtained for the density of states at the Fermi level is 0.6285 states/eV/atom.

=====

(4)
The following is a DFT calculation (PBE) of a geometry-optimized BeMoS2 structure.

a b c (Å): 5.340 5.340 9.398
angles (deg): 90.00 90.00 90.00
Element x y z (fractional)
Be  0.000  0.000  0.000
Be  0.000  0.500  0.250
Be  0.500  0.000  0.750
Be  0.500  0.500  0.500
Mo  0.000  0.000  0.500
Mo  0.000  0.500  0.750
Mo  0.500  0.000  0.250
Mo  0.500  0.500  0.000
S  0.206  0.250  0.125
S  0.250  0.706  0.375
S  0.250  0.794  0.875
S  0.294  0.250  0.625
S  0.706  0.750  0.625
S  0.750  0.206  0.875
S  0.750  0.294  0.375
S  0.794  0.750  0.125

Output
The space-group type is I-42d, No. 122. Its raw total energy is -5.99 eV/atom. The formation energy (no corrections) comes out at -0.29 eV/atom. The value obtained for the density of states at the Fermi level is 0.6680 states/eV/atom.

=====

(5)
The following is a DFT calculation (PBE) of a geometry-optimized Mg2Ga8Co structure.

a b c (Å): 4.140 4.140 11.200
angles (deg): 90.00 90.00 90.00
Element x y z (fractional)
Mg  0.000  0.000  0.193
Mg  0.000  0.000  0.807
Ga  0.000  0.500  0.000
Ga  0.000  0.500  0.381
Ga  0.000  0.500  0.619
Ga  0.500  0.000  0.000
Ga  0.500  0.000  0.381
Ga  0.500  0.000  0.619
Ga  0.500  0.500  0.198
Ga  0.500  0.500  0.802
Co  0.000  0.000  0.500

Output
The space-group type is P4/mmm, No. 123. Its raw total energy is -3.27 eV/atom. The value obtained for the density of states at the Fermi level is 0.2417 states/eV/atom.

=====

(6)
The following is a DFT calculation (PBE) of a geometry-optimized Be2CuAu8 structure.

a b c (Å): 7.823 7.823 7.288
angles (deg): 116.90 116.90 26.93
Element x y z (fractional)
Be  0.222  0.222  0.222
Be  0.778  0.778  0.778
Cu  0.500  0.500  0.500
Au  0.002  0.002  0.199
Au  0.146  0.146  0.649
Au  0.337  0.337  0.640
Au  0.339  0.339  0.031
Au  0.661  0.661  0.969
Au  0.663  0.663  0.360
Au  0.854  0.854  0.351
Au  0.998  0.998  0.801

Output
The space-group type is C2/m, No. 12. Its raw total energy is -3.46 eV/atom. The value obtained for the density of states at the Fermi level is 0.2508 states/eV/atom.

=====

(7)
The following is a DFT calculation (PBE) of a geometry-optimized GeIr3C structure.

a b c (Å): 4.542 4.542 4.542
angles (deg): 90.00 90.00 90.00
Element x y z (fractional)
Ge  0.000  0.000  0.000
Ir  0.000  0.000  0.500
Ir  0.000  0.500  0.000
Ir  0.500  0.000  0.000
C  0.500  0.500  0.500

Output
The space-group type is Pm-3m, No. 221. Its raw total energy is -5.54 eV/atom. The value obtained for the density of states at the Fermi level is 1.2366 states/eV/atom.

=====

(8)
The following is a DFT calculation (PBE) of a geometry-optimized K2Ag12Pd5 structure.

a b c (Å): 7.291 7.291 7.291
angles (deg): 82.67 82.67 82.67
Element x y z (fractional)
K  0.162  0.162  0.162
K  0.838  0.838  0.838
Ag  0.157  0.157  0.643
Ag  0.157  0.643  0.157
Ag  0.208  0.500  0.792
Ag  0.208  0.792  0.500
Ag  0.357  0.843  0.843
Ag  0.500  0.208  0.792
Ag  0.500  0.792  0.208
Ag  0.643  0.157  0.157
Ag  0.792  0.208  0.500
Ag  0.792  0.500  0.208
Ag  0.843  0.357  0.843
Ag  0.843  0.843  0.357
Pd  0.000  0.500  0.500
Pd  0.403  0.403  0.403
Pd  0.500  0.000  0.500
Pd  0.500  0.500  0.000
Pd  0.597  0.597  0.597

Output
The space-group type is R-3m, No. 166. Its raw total energy is -3.30 eV/atom. The value obtained for the density of states at the Fermi level is 0.2984 states/eV/atom.

=====

(9)
The following is a DFT calculation (PBE) of a geometry-optimized ZrI2BrO structure.

a b c (Å): 6.070 6.070 3.766
angles (deg): 90.00 90.00 90.00
Element x y z (fractional)
Zr  0.000  0.000  0.000
I  0.000  0.500  0.500
I  0.500  0.000  0.500
Br  0.500  0.500  0.500
O  0.500  0.500  0.000

Output
The space-group type is P4/mmm, No. 123. Its raw total energy is -3.08 eV/atom. The formation energy (no corrections) comes out at 0.58 eV/atom. The value obtained for the density of states at the Fermi level is 0.7393 states/eV/atom.

=====

(10)
The following is a DFT calculation (PBE) of a geometry-optimized Sr2MnNi structure.

a b c (Å): 3.772 3.753 7.593
angles (deg): 90.00 90.07 90.00
Element x y z (fractional)
Sr  0.000  0.000  0.229
Sr  0.000  0.000  0.771
Mn  0.500  0.500  0.500
Ni  0.500  0.500  0.000

Output
The space-group type is P2/m, No. 10. Its raw total energy is -4.15 eV/atom. The value obtained for the density of states at the Fermi level is 1.0470 states/eV/atom.

=====

(11)
The following is a DFT calculation (PBE) of a geometry-optimized Pr7Y2 structure.

a b c (Å): 6.384 6.384 9.021
angles (deg): 90.00 90.00 120.00
Element x y z (fractional)
Pr  0.000  0.000  0.000
Pr  0.000  0.333  0.670
Pr  0.000  0.667  0.330
Pr  0.333  0.000  0.670
Pr  0.333  0.333  0.330
Pr  0.667  0.000  0.330
Pr  0.667  0.667  0.670
Y  0.333  0.667  0.000
Y  0.667  0.333  0.000

Output
The space-group type is P-31m, No. 162. Its raw total energy is -5.14 eV/atom. The value obtained for the density of states at the Fermi level is 1.5076 states/eV/atom.

=====

(12)
The following is a DFT calculation (PBE) of a geometry-optimized NaCdSi structure.

a b c (Å): 4.484 5.732 6.134
angles (deg): 84.89 68.66 67.14
Element x y z (fractional)
Na  0.249  0.328  0.173
Na  0.751  0.672  0.827
Cd  0.415  0.761  0.409
Cd  0.585  0.239  0.591
Si  0.055  0.078  0.813
Si  0.945  0.922  0.187

Output
The space-group type is P-1, No. 2. Its raw total energy is -2.55 eV/atom. The formation energy (no corrections) comes out at 0.01 eV/atom. The value obtained for the density of states at the Fermi level is 0.3308 states/eV/atom.